Record 1
Computed, not measured: a geometry-optimized YNbSe2Br structure at the PBE-GGA level of DFT.

As for the space group: P4/mmm. The calculation puts the formation energy (no corrections) at -84.6 meV per atom.

Lattice parameters (Å, degrees): 5.479 5.479 5.292 90.00 90.00 90.00
Site moments in Bohr magnetons follow the coordinates.
Fractional positions:
Se 0.500 0.000 0.000  -0.15
Se 0.000 0.500 0.000  -0.15
Nb 0.500 0.500 0.500  2.78
Br 0.000 0.000 0.500  0.01
Y 0.000 0.000 0.000  0.01

Record 2
Computed, not measured: a geometry-optimized NaCoGe2 structure at the PBE-GGA level of DFT.

As for the space group: I-42d.

Lattice parameters (Å, degrees): 5.430 5.430 7.929 69.98 69.98 90.00
Fractional positions:
Ge 0.872 0.125 0.250
Ge 0.375 0.128 0.750
Ge 0.878 0.625 0.250
Ge 0.875 0.122 0.750
Co 0.000 0.000 0.000
Co 0.750 0.250 0.500
Na 0.250 0.750 0.500
Na 0.500 0.500 0.000

Record 3
Computed, not measured: a geometry-optimized Dy2HfZr structure at the PBE-GGA level of DFT.

As for the space group: P4/mmm.

Lattice parameters (Å, degrees): 4.826 4.664 4.664 90.00 90.00 90.00
Fractional positions:
Zr 0.500 0.500 0.500
Hf 0.500 0.000 0.000
Dy 0.000 0.500 0.000
Dy 0.000 0.000 0.500

Record 4
Computed, not measured: a geometry-optimized Mn3ZnPd structure at the PBE-GGA level of DFT.

As for the space group: Pm-3m.

Lattice parameters (Å, degrees): 4.253 4.253 4.253 90.00 90.00 90.00
Fractional positions:
Pd 0.500 0.500 0.500
Mn 0.000 0.500 0.000
Mn 0.500 0.000 0.000
Mn 0.000 0.000 0.500
Zn 0.000 0.000 0.000

Number 1: total magnetic moment 3.01 Bohr magnetons per cell, raw total energy -25.60 eV/cell, excess energy over the best structure of this formula in the dataset 0.364 eV/atom. Number 2: total magnetic moment 0.00 Bohr magnetons per cell, raw total energy -34.44 eV/cell, excess energy over the best structure of this formula in the dataset 0.219 eV/atom. Number 3: total magnetic moment 0.00 Bohr magnetons per cell, raw total energy -27.07 eV/cell, excess energy over the best structure of this formula in the dataset 0.012 eV/atom. Number 4: total magnetic moment 0.00 Bohr magnetons per cell, raw total energy -25.40 eV/cell, excess energy over the best structure of this formula in the dataset 0.809 eV/atom.